[1]
The following is a DFT calculation (GGA-PBEsol) of crystalline FePb3Se at its relaxed geometry.

Computed properties:
- Space group: Pm-3m
- Magnetization: 0.00 μB/f.u.
- Raw total energy: -0.1808 hartree per atom

Structure (POSCAR):
```
FePb3Se
1.0
-2.955 -3.900 -0.930
2.639 -1.023 -4.097
3.018 -2.924 2.674
Pb Fe Se
3 1 1
direct
0.000 0.500 0.000 Pb
0.000 0.000 0.500 Pb
0.500 0.000 0.000 Pb
0.000 0.000 0.000 Fe
0.500 0.500 0.500 Se
```



[2]
The following is a DFT calculation (GGA-PBEsol) of crystalline Rb at its relaxed geometry.

Computed properties:
- Space group: I-43m
- E above lowest polymorph: 0.011 eV per atom
- Magnetization: 0.00 μB/f.u.
- Raw total energy: -0.0373 hartree per atom
- Energy relative to the elements: 0.011 eV per atom

Structure (POSCAR):
```
Rb
1.0
14.776 0.000 0.000
-4.925 13.931 0.000
-4.925 -6.965 12.064
Rb
29
direct
0.000 0.000 0.000 Rb
0.000 0.362 0.000 Rb
0.000 0.593 0.317 Rb
0.000 0.000 0.362 Rb
0.000 0.317 0.593 Rb
0.000 0.810 0.625 Rb
0.000 0.625 0.810 Rb
0.185 0.375 0.375 Rb
0.190 0.815 0.190 Rb
0.190 0.190 0.815 Rb
0.277 0.683 0.683 Rb
0.317 0.593 0.000 Rb
0.317 0.000 0.593 Rb
0.362 0.000 0.000 Rb
0.375 0.375 0.185 Rb
0.375 0.185 0.375 Rb
0.407 0.723 0.407 Rb
0.407 0.407 0.723 Rb
0.593 0.317 0.000 Rb
0.593 0.000 0.317 Rb
0.625 0.810 0.000 Rb
0.625 0.000 0.810 Rb
0.638 0.638 0.638 Rb
0.683 0.683 0.277 Rb
0.683 0.277 0.683 Rb
0.723 0.407 0.407 Rb
0.810 0.625 0.000 Rb
0.810 0.000 0.625 Rb
0.815 0.190 0.190 Rb
```



[3]
The following is a DFT calculation (GGA-PBEsol) of crystalline LaMgSc2 at its relaxed geometry.

Computed properties:
- Space group: Imm2
- Magnetization: 0.00 μB/f.u.
- Raw total energy: -0.1841 hartree per atom
- Energy relative to the elements: 0.058 eV per atom

Structure (POSCAR):
```
LaMgSc2
1.0
-3.097 0.142 1.904
-2.406 -2.916 -3.695
4.155 -3.086 3.511
La Mg Sc
1 1 2
direct
0.504 0.504 0.008 La
0.262 0.762 0.524 Mg
0.993 0.993 0.985 Sc
0.741 0.241 0.482 Sc
```



[4]
The following is a DFT calculation (GGA-PBEsol) of crystalline LiTcAg2 at its relaxed geometry.

Computed properties:
- Space group: Pmm2
- E above lowest polymorph: 0.004 eV per atom
- Magnetization: 0.15 μB/f.u.
- Raw total energy: -0.1727 hartree per atom
- Energy relative to the elements: 0.264 eV per atom

Structure (POSCAR):
```
LiTcAg2
1.0
-1.248 -1.738 1.512
3.428 0.298 3.173
-2.406 3.687 2.253
Ag Li Tc
2 1 1
direct
0.000 0.000 0.059 Ag
0.000 0.500 0.695 Ag
0.500 0.000 0.550 Li
0.500 0.500 0.195 Tc
```



[5]
The following is a DFT calculation (GGA-PBEsol) of crystalline TcIrSe2Br at its relaxed geometry.

Computed properties:
- Space group: P4/mmm
- Magnetization: 1.32 μB/f.u.
- Raw total energy: -0.1799 hartree per atom

Structure (POSCAR):
```
TcIrSe2Br
1.0
4.673 0.000 0.000
0.000 4.673 0.000
0.000 0.000 4.957
Ir Se Tc Br
1 2 1 1
direct
0.500 0.500 0.500 Ir
0.000 0.500 0.000 Se
0.500 0.000 0.000 Se
0.000 0.000 0.000 Tc
0.000 0.000 0.500 Br
```



[6]
The following is a DFT calculation (GGA-PBEsol) of crystalline K2CuRu at its relaxed geometry.

Computed properties:
- Space group: Cm
- E above lowest polymorph: 0.163 eV per atom
- Magnetization: 0.22 μB/f.u.
- Raw total energy: -0.1197 hartree per atom
- Energy relative to the elements: 0.937 eV per atom

Structure (POSCAR):
```
K2CuRu
1.0
2.687 0.000 0.000
0.000 6.043 -0.065
-1.343 -1.900 5.865
Cu K Ru
1 2 1
direct
0.199 0.765 0.399 Cu
0.975 0.928 0.950 K
0.775 0.322 0.551 K
0.550 0.485 0.101 Ru
```



[7]
The following is a DFT calculation (GGA-PBEsol) of crystalline LiY2Mo at its relaxed geometry.

Computed properties:
- Space group: C2/m
- E above lowest polymorph: 0.058 eV per atom
- Magnetization: 0.00 μB/f.u.
- Raw total energy: -0.2334 hartree per atom
- Energy relative to the elements: 0.495 eV per atom

Structure (POSCAR):
```
LiY2Mo
1.0
3.061 0.000 0.000
-1.531 4.611 0.010
0.000 -0.763 6.404
Li Mo Y
1 1 2
direct
0.000 0.000 0.500 Li
0.500 0.000 0.000 Mo
0.757 0.513 0.771 Y
0.243 0.487 0.229 Y
```



[8]
The following is a DFT calculation (GGA-PBEsol) of crystalline CoTe3Ir at its relaxed geometry.

Computed properties:
- Space group: Pm-3m
- Magnetization: 0.00 μB/f.u.
- Raw total energy: -0.1721 hartree per atom

Structure (POSCAR):
```
CoTe3Ir
1.0
4.773 0.000 0.000
0.000 4.773 0.000
0.000 0.000 4.773
Co Ir Te
1 1 3
direct
0.000 0.000 0.000 Co
0.500 0.500 0.500 Ir
0.000 0.500 0.000 Te
0.000 0.000 0.500 Te
0.500 0.000 0.000 Te
```